*i*
Here is crystalline LiMn2OF3 at its relaxed geometry from Alexandria. Energies are from GGA+U.

Geometry as CIF:
```
data_LiMn2OF3
_chemical_formula_sum 'Li4 Mn8 O4 F12'
_cell_length_a 6.2951
_cell_length_b 6.2951
_cell_length_c 8.9700
_cell_angle_alpha 90.00
_cell_angle_beta 90.00
_cell_angle_gamma 90.00
_symmetry_space_group_name_H-M 'P 43'
_symmetry_Int_Tables_number 78
loop_
_symmetry_equiv_pos_as_xyz
'x,y,z'
'-y,x,z+3/4'
'-x,-y,z+1/2'
'y,-x,z+1/4'
loop_
_atom_site_label
_atom_site_fract_x
_atom_site_fract_y
_atom_site_fract_z
Li1 0.0118 0.2476 0.0000
Mn1 0.2398 0.7257 0.8870
Mn2 0.2488 0.5120 0.2367
O1 0.2440 0.4660 0.0098
F1 0.0036 0.7613 0.2640
F2 0.0230 0.2403 0.2476
F3 0.2386 0.5072 0.4950
```

---

*ii*
Here is crystalline LiMn2OF3 at its relaxed geometry from Alexandria. Energies are from GGA+U.

Geometry as CIF:
```
data_LiMn2OF3
_chemical_formula_sum 'Li4 Mn8 O4 F12'
_cell_length_a 6.3224
_cell_length_b 6.3525
_cell_length_c 8.8874
_cell_angle_alpha 90.00
_cell_angle_beta 90.00
_cell_angle_gamma 90.00
_symmetry_space_group_name_H-M 'P n m a'
_symmetry_Int_Tables_number 62
loop_
_symmetry_equiv_pos_as_xyz
'x,y,z'
'-x,-y,-z'
'-x+1/2,-y,z+1/2'
'x+1/2,y,-z+1/2'
'x+1/2,-y+1/2,-z+1/2'
'-x+1/2,y+1/2,z+1/2'
'-x,y+1/2,-z'
'x,-y+1/2,z'
loop_
_atom_site_label
_atom_site_fract_x
_atom_site_fract_y
_atom_site_fract_z
Li1 0.2484 0.2500 0.2330
Mn1 0.0000 0.0000 0.5000
Mn2 0.0359 0.2500 0.8881
O1 0.2037 0.7500 0.5112
F1 0.0105 0.0161 0.2461
F2 0.2440 0.7500 0.9841
```

---

Most stable structure among those shown: *ii*.